Below is a crystal of CoPtAu relaxed with PBEsol, with properties calculated at the meta-GGA SCAN level.

N(E_F)   2.82 states/eV/f.u.
Formation enthalpy at 0 K   0.11 eV per formula unit
SG   P3m1, No. 156

```
CoPtAu
1.0
2.743 0.000 0.000
-1.371 2.375 0.000
0.000 0.000 6.613
Co Pt Au
1 1 1
Cartesian
0.000 0.000 0.000
0.000 1.584 4.601
1.371 0.792 2.151
```